# 1
Computed, not measured: Ce6Os2Au after structural relaxation at the PBE level of DFT.

Computed properties:
ρ = 10946 kg/m3
size of the total moment = 0.74 μB per cell
energy of formation = -6.9 kcal/mol of atoms
energy above the lowest structure with this stoichiometry = 0.000 eV per atom

a = 5.609 Å, b = 5.609 Å, c = 8.763 Å
α = 96.66°, β = 96.66°, γ = 51.90°
Positions (direct):
1 Ce 0.050 0.050 0.357
2 Ce 0.309 0.309 0.908
3 Ce 0.386 0.386 0.327
4 Ce 0.614 0.614 0.673
5 Ce 0.691 0.691 0.092
6 Ce 0.950 0.950 0.643
7 Os 0.274 0.274 0.618
8 Os 0.726 0.726 0.382
9 Au 0.000 0.000 0.000

---

# 2
Computed, not measured: In3MoN after structural relaxation at the PBE level of DFT.

Computed properties:
ρ = 8033 kg/m3
size of the total moment = 0.00 μB per cell
raw formation energy = 941.4 meV/atom
energy above the lowest structure with this stoichiometry = 0.000 eV per atom

a = 4.546 Å, b = 4.546 Å, c = 4.546 Å
α = 90.00°, β = 90.00°, γ = 90.00°
Positions (direct):
1 In 0.000 0.000 0.500
2 In 0.000 0.500 0.000
3 In 0.500 0.000 0.000
4 Mo 0.500 0.500 0.500
5 N 0.000 0.000 0.000

---

# 3
Computed, not measured: AgHg3O after structural relaxation at the PBE level of DFT.

Computed properties:
ρ = 10625 kg/m3
size of the total moment = 0.00 μB per cell
raw formation energy = 356.1 meV/atom
energy above the lowest structure with this stoichiometry = 0.000 eV per atom

a = 4.840 Å, b = 4.840 Å, c = 4.840 Å
α = 90.00°, β = 90.00°, γ = 90.00°
Positions (direct):
1 Ag 0.000 0.000 0.000
2 Hg 0.000 0.500 0.500
3 Hg 0.500 0.000 0.500
4 Hg 0.500 0.500 0.000
5 O 0.500 0.500 0.500

---

# 4
Computed, not measured: GaSb2Te2 after structural relaxation at the PBE level of DFT.

Computed properties:
ρ = 6095 kg/m3
size of the total moment = 0.00 μB per cell
raw formation energy = 192.6 meV/atom
energy above the lowest structure with this stoichiometry = 0.120 eV per atom

a = 4.290 Å, b = 4.290 Å, c = 16.828 Å
α = 90.00°, β = 90.00°, γ = 90.00°
Positions (direct):
1 Ga 0.000 0.000 0.000
2 Ga 0.500 0.500 0.500
3 Sb 0.000 0.500 0.250
4 Sb 0.000 0.500 0.750
5 Sb 0.500 0.000 0.250
6 Sb 0.500 0.000 0.750
7 Te 0.000 0.000 0.411
8 Te 0.000 0.000 0.589
9 Te 0.500 0.500 0.089
10 Te 0.500 0.500 0.911